Record 1
An optimized crystal structure of AlNi, computed with PBE.

Cell and atoms, written as POSCAR:
```
AlNi
1.0
2.439 -3.993 0.000
2.439 3.993 0.000
0.000 0.000 7.791
Al Ni
6 6
direct
0.155 0.845 0.750
0.338 0.662 0.060
0.338 0.662 0.440
0.662 0.338 0.560
0.662 0.338 0.940
0.845 0.155 0.250
0.000 0.000 0.000
0.000 0.000 0.500
0.150 0.354 0.750
0.354 0.150 0.250
0.646 0.850 0.750
0.850 0.646 0.250
```

Size of the total moment = 0.0 μB per formula unit
Space-group type = No. 63
Electronic total energy = -60.9 eV/cell

Record 2
An optimized crystal structure of PrTaN2O, computed with PBE.

Cell and atoms, written as POSCAR:
```
PrTaN2O
1.0
5.718 0.000 0.000
0.000 3.989 0.000
0.000 0.000 5.807
Pr Ta N O
2 2 4 2
direct
0.250 0.000 0.221
0.750 0.000 0.779
0.250 0.500 0.732
0.750 0.500 0.268
0.000 0.500 0.500
0.250 0.000 0.797
0.500 0.500 0.500
0.750 0.000 0.203
0.000 0.500 0.000
0.500 0.500 0.000
```

Size of the total moment = 0.0 μB per formula unit
Space-group type = No. 51
Electronic total energy = -94.7 eV/cell

Record 3
An optimized crystal structure of TaTcPO, computed with PBE.

Cell and atoms, written as POSCAR:
```
TaTcPO
1.0
4.060 0.000 0.000
0.000 4.588 0.000
0.000 0.000 5.613
Ta Tc P O
2 2 2 2
direct
0.000 0.123 0.000
0.000 0.877 0.500
0.500 0.365 0.324
0.500 0.635 0.824
0.500 0.149 0.706
0.500 0.851 0.206
0.000 0.295 0.347
0.000 0.705 0.847
```

Size of the total moment = 0.0 μB per formula unit
Space-group type = No. 26
Electronic total energy = -71.9 eV/cell

Record 4
An optimized crystal structure of HfInNiPd, computed with PBE.

Cell and atoms, written as POSCAR:
```
HfInNiPd
1.0
0.000 3.225 3.225
3.225 0.000 3.225
3.225 3.225 0.000
Hf In Ni Pd
1 1 1 1
direct
0.000 0.000 0.000
0.500 0.500 0.500
0.750 0.750 0.750
0.250 0.250 0.250
```

Size of the total moment = 0.0 μB per formula unit
Space-group type = No. 216
Electronic total energy = -25.6 eV/cell